Material: ZnAg2Bi2
Method: DFT, PBE
State: optimized geometry

CIF file:
```
data_ZnAg2Bi2
_symmetry_space_group_name_H-M 'I 4/m m m'
_symmetry_Int_Tables_number 139
_symmetry_space_group_name_Hall '-I 4 2'
_cell_length_a 3.839
_cell_length_b 3.839
_cell_length_c 16.829
_cell_angle_alpha 90.00
_cell_angle_beta 90.00
_cell_angle_gamma 90.00
loop_
_atom_site_label
_atom_site_type_symbol
_atom_site_fract_x
_atom_site_fract_y
_atom_site_fract_z
Zn1 Zn 0.000 0.000 0.000
Ag1 Ag 0.000 0.500 0.250
Bi1 Bi 0.000 0.000 0.396
```

Calculated values
Offset from the most stable computed form in meV/atom: 42


Material: ZnAg2Bi
Method: DFT, PBE
State: optimized geometry

CIF file:
```
data_ZnAg2Bi
_symmetry_space_group_name_H-M 'R 3 m'
_symmetry_Int_Tables_number 160
_symmetry_space_group_name_Hall 'R 3 -2"'
_cell_length_a 4.5389
_cell_length_b 4.5389
_cell_length_c 14.7749
_cell_angle_alpha 90.00
_cell_angle_beta 90.00
_cell_angle_gamma 120.00
loop_
_atom_site_label
_atom_site_type_symbol
_atom_site_fract_x
_atom_site_fract_y
_atom_site_fract_z
Zn1 Zn 0.0000 0.0000 0.0000
Ag1 Ag 0.0000 0.0000 0.3645
Ag2 Ag 0.0000 0.0000 0.5894
Bi1 Bi 0.0000 0.0000 0.8029
```

Calculated values
Offset from the most stable computed form in meV/atom: 51


Material: ZnAg3Bi
Method: DFT, PBE
State: optimized geometry

CIF file:
```
data_ZnAg3Bi
_symmetry_space_group_name_H-M 'P m -3 m'
_symmetry_Int_Tables_number 221
_symmetry_space_group_name_Hall '-P 4 2 3'
_cell_length_a 5.462
_cell_length_b 5.462
_cell_length_c 5.462
_cell_angle_alpha 90.00
_cell_angle_beta 90.00
_cell_angle_gamma 90.00
loop_
_atom_site_label
_atom_site_type_symbol
_atom_site_fract_x
_atom_site_fract_y
_atom_site_fract_z
Zn1 Zn 0.000 0.000 0.000
Ag1 Ag 0.000 0.500 0.500
Bi1 Bi 0.500 0.500 0.500
```

Calculated values
Offset from the most stable computed form in meV/atom: 205


Material: Zn3Ag3Bi
Method: DFT, PBE
State: optimized geometry

CIF file:
```
data_Zn3Ag3Bi
_symmetry_space_group_name_H-M 'P m -3 n'
_symmetry_Int_Tables_number 223
_symmetry_space_group_name_Hall '-P 4n 2 3'
_cell_length_a 7.092
_cell_length_b 7.092
_cell_length_c 7.092
_cell_angle_alpha 90.00
_cell_angle_beta 90.00
_cell_angle_gamma 90.00
loop_
_atom_site_label
_atom_site_type_symbol
_atom_site_fract_x
_atom_site_fract_y
_atom_site_fract_z
Zn1 Zn 0.000 0.250 0.500
Ag1 Ag 0.000 0.500 0.250
Bi1 Bi 0.000 0.000 0.000
```


Material: ZrAgBi
Method: DFT, PBE
State: optimized geometry

CIF file:
```
data_ZrAgBi
_symmetry_space_group_name_H-M 'P 3 m 1'
_symmetry_Int_Tables_number 156
_cell_length_a 4.6040
_cell_length_b 4.6040
_cell_length_c 3.9022
_cell_angle_alpha 90.00
_cell_angle_beta 90.00
_cell_angle_gamma 120.00
loop_
_symmetry_equiv_pos_as_xyz
'x,y,z'
'-y,x-y,z'
'-x+y,-x,z'
'-y,-x,z'
'-x+y,y,z'
'x,x-y,z'
loop_
_atom_site_label
_atom_site_type_symbol
_atom_site_fract_x
_atom_site_fract_y
_atom_site_fract_z
Zr1 Zr 0.0000 0.0000 0.0000
Ag1 Ag 0.3333 0.6667 0.7490
Bi1 Bi 0.6667 0.3333 0.4450
```


Material: Zr3AgBi
Method: DFT, PBE
State: optimized geometry

CIF file:
```
data_Zr3AgBi
_symmetry_space_group_name_H-M 'P m -3 m'
_symmetry_Int_Tables_number 221
_symmetry_space_group_name_Hall '-P 4 2 3'
_cell_length_a 5.174
_cell_length_b 5.174
_cell_length_c 5.174
_cell_angle_alpha 90.00
_cell_angle_beta 90.00
_cell_angle_gamma 90.00
loop_
_atom_site_label
_atom_site_type_symbol
_atom_site_fract_x
_atom_site_fract_y
_atom_site_fract_z
Zr1 Zr 0.000 0.000 0.500
Ag1 Ag 0.000 0.000 0.000
Bi1 Bi 0.500 0.500 0.500
```

Calculated values
Offset from the most stable computed form in meV/atom: 0


Energy of formation across the listed records, respectively: 0.20 0.11 0.57 0.54 0.01 0.63 eV per atom.
M_tot across the listed records, respectively: 0.000 0.000 0.000 0.000 0.000 0.000 μB/atom.
D(E_F) across the listed records, respectively: 4.4 4.5 0.0 7.2 0.5 8.9 states/eV/cell.